VASP calculation (PBE-GGA) on a geometry-optimized In2MoAu structure.

V: 81 Å³/cell
Distance to the lowest polymorph of the same formula: 83 meV per atom
Formation energy from the elements: 5.751 kcal/mol of atoms
Energy: -4.65 eV/atom
Density of states at the Fermi level: 2.85 states/eV/f.u.

Structure (POSCAR):
```
In2MoAu
1.0
-1.5554 2.3884 5.4208
1.5554 -2.3884 5.4208
1.5554 2.3884 -5.4208
In Mo Au
2 1 1
Cartesian
0.0000 0.0000 0.0000
0.0000 2.3884 2.3442
1.5554 0.0000 2.4694
0.0000 0.0000 4.8146
```